(1)
Material: SrSi3Ni
Method: DFT, PBE
State: relaxed

Structure (POSCAR):
```
SrSi3Ni
1.0
5.394 0.000 0.000
0.000 5.394 0.000
0.000 0.000 5.394
Sr Si Ni
1 3 1
direct
0.000 0.000 0.000
0.000 0.000 0.500
0.000 0.500 0.000
0.500 0.000 0.000
0.500 0.500 0.500
```

Values from the calculation:
Symmetry: Pm-3m
Uncorrected energy, eV for the cell shown: -12.9
Spin magnetization, μB per atom: 0.102
Fermi-level density of states, states/eV/cell: 6.10
Energy relative to the elements, uncorrected, meV per atom: 2167.1
Theoretical density, g/cm³: 2.44

***

(2)
Material: Sm7Dy16Er6
Method: DFT, PBE
State: relaxed

Structure (POSCAR):
```
Sm7Dy16Er6
1.0
0.000 7.876 7.876
7.876 0.000 7.876
7.876 7.876 0.000
Sm Dy Er
7 16 6
direct
0.000 0.000 0.000
0.000 0.000 0.500
0.000 0.500 0.000
0.000 0.500 0.500
0.500 0.000 0.000
0.500 0.000 0.500
0.500 0.500 0.000
0.048 0.651 0.651
0.126 0.126 0.126
0.126 0.126 0.622
0.126 0.622 0.126
0.349 0.349 0.349
0.349 0.349 0.952
0.349 0.952 0.349
0.378 0.874 0.874
0.622 0.126 0.126
0.651 0.048 0.651
0.651 0.651 0.048
0.651 0.651 0.651
0.874 0.378 0.874
0.874 0.874 0.378
0.874 0.874 0.874
0.952 0.349 0.349
0.266 0.266 0.734
0.266 0.734 0.266
0.266 0.734 0.734
0.734 0.266 0.266
0.734 0.266 0.734
0.734 0.734 0.266
```

Values from the calculation:
Symmetry: Fm-3m
Uncorrected energy, eV for the cell shown: -126.6
Spin magnetization, μB per atom: 0.000
Fermi-level density of states, states/eV/cell: 57.53
Formation energy, eV per atom: 0.2584
Theoretical density, g/cm³: 7.91

***

(3)
Material: CrInN
Method: DFT, PBE
State: relaxed

Structure (POSCAR):
```
CrInN
1.0
5.956 -1.394 0.000
5.956 1.394 0.000
-0.010 0.000 2.808
Cr In N
1 1 1
direct
0.000 0.000 0.000
0.746 0.746 0.007
0.501 0.501 0.500
```

Values from the calculation:
Symmetry: Cm
Uncorrected energy, eV for the cell shown: -20.5
Spin magnetization, μB per atom: 0.660
Fermi-level density of states, states/eV/cell: 1.70
Energy relative to the elements, uncorrected, meV per atom: 56.7
Theoretical density, g/cm³: 6.44

***

(4)
Material: NaCuBiSe2
Method: DFT, PBE
State: relaxed

Structure (POSCAR):
```
NaCuBiSe2
1.0
7.192 0.000 0.000
0.000 4.329 0.000
-1.528 0.000 8.395
Na Cu Bi Se
2 2 2 4
direct
0.000 0.179 0.250
0.000 0.821 0.750
0.500 0.000 0.000
0.500 0.000 0.500
0.500 0.480 0.750
0.500 0.520 0.250
0.228 0.309 0.963
0.228 0.691 0.463
0.772 0.309 0.537
0.772 0.691 0.037
```

Values from the calculation:
Symmetry: P2/c
Uncorrected energy, eV for the cell shown: -36.4
Spin magnetization, μB per atom: 0.000
Fermi-level density of states, states/eV/cell: 2.99
Energy relative to the elements, uncorrected, meV per atom: -382.6
Theoretical density, g/cm³: 5.76

***

(5)
Material: BeFe2S
Method: DFT, PBE
State: relaxed

Structure (POSCAR):
```
BeFe2S
1.0
0.000 2.659 2.659
2.659 0.000 2.659
2.659 2.659 0.000
Be Fe S
1 2 1
direct
0.000 0.000 0.000
0.250 0.250 0.250
0.750 0.750 0.750
0.500 0.500 0.500
```

Values from the calculation:
Symmetry: Fm-3m
Uncorrected energy, eV for the cell shown: -24.7
Spin magnetization, μB per atom: 0.000
Fermi-level density of states, states/eV/cell: 1.30
Energy relative to the elements, uncorrected, meV per atom: 9.8
Theoretical density, g/cm³: 6.75

***

(6)
Material: ScTePtN2
Method: DFT, PBE
State: relaxed

Structure (POSCAR):
```
ScTePtN2
1.0
4.075 0.000 0.000
0.000 4.075 0.000
0.000 0.000 6.069
Sc Te Pt N
1 1 1 2
direct
0.000 0.000 0.000
0.000 0.000 0.500
0.500 0.500 0.500
0.000 0.500 0.000
0.500 0.000 0.000
```

Values from the calculation:
Symmetry: P4/mmm
Uncorrected energy, eV for the cell shown: -27.8
Spin magnetization, μB per atom: 0.585
Fermi-level density of states, states/eV/cell: 4.63
Energy relative to the elements, uncorrected, meV per atom: 871.9
Theoretical density, g/cm³: 6.52

***

(7)
Material: TlAs2O2
Method: DFT, PBE
State: relaxed

Structure (POSCAR):
```
TlAs2O2
1.0
-1.803 1.803 6.808
1.803 -1.803 6.808
1.803 1.803 -6.808
Tl As O
1 2 2
direct
0.000 0.000 0.000
0.250 0.750 0.500
0.750 0.250 0.500
0.376 0.376 0.000
0.624 0.624 0.000
```

Values from the calculation:
Symmetry: I4/mmm
Uncorrected energy, eV for the cell shown: -20.9
Spin magnetization, μB per atom: 0.000
Fermi-level density of states, states/eV/cell: 3.32
Energy relative to the elements, uncorrected, meV per atom: 134.2
Theoretical density, g/cm³: 7.25

***

(8)
Material: CoRe
Method: DFT, PBE
State: relaxed

Structure (POSCAR):
```
CoRe
1.0
9.124 0.000 0.000
0.000 4.198 0.000
0.000 0.000 5.272
Co Re
8 8
direct
0.086 0.250 0.247
0.163 0.750 0.003
0.337 0.250 0.503
0.414 0.750 0.747
0.586 0.250 0.253
0.663 0.750 0.497
0.837 0.250 0.997
0.914 0.750 0.753
0.081 0.250 0.758
0.168 0.750 0.501
0.332 0.250 0.001
0.419 0.750 0.258
0.581 0.250 0.742
0.668 0.750 0.999
0.832 0.250 0.499
0.919 0.750 0.242
```

Values from the calculation:
Symmetry: Pnma
Uncorrected energy, eV for the cell shown: -157.4
Spin magnetization, μB per atom: 0.002
Fermi-level density of states, states/eV/cell: 13.54
Formation energy, eV per atom: -0.0624
Theoretical density, g/cm³: 16.13